A geometry-optimized NaRe3Br structure, computed with PBE.

a = 4.620 Å, b = 4.620 Å, c = 4.620 Å
α = 90.00°, β = 90.00°, γ = 90.00°
Last column: magnetic moment on the atom in μB.
Fractional coordinates of all 5 atoms:
1 Re 0.500 0.000 0.000  0.43
2 Re 0.000 0.500 0.000  0.51
3 Re 0.000 0.000 0.500  0.50
4 Br 0.000 0.000 0.000  -0.02
5 Na 0.500 0.500 0.500  0.00

As for the space group: Pm-3m (221). As for the polymorph energy (0 for the lowest one): 0 meV/atom. The density of states at the Fermi level comes out at 5.89 states/eV per cell.

A geometry-optimized HfAsSe structure, computed with PBE.

a = 3.859 Å, b = 3.859 Å, c = 8.391 Å
α = 103.29°, β = 103.29°, γ = 90.00°
Fractional coordinates of all 6 atoms:
1 As 0.000 0.500 0.000
2 As 0.500 0.000 0.000
3 Se 0.809 0.809 0.618
4 Se 0.191 0.191 0.382
5 Hf 0.370 0.370 0.740
6 Hf 0.630 0.630 0.260

As for the space group: I4/mmm (139). The density of states at the Fermi level comes out at 2.92 states/eV per cell.

A geometry-optimized K4RuS4 structure, computed with PBE.

a = 7.401 Å, b = 7.401 Å, c = 8.144 Å
α = 117.02°, β = 117.02°, γ = 90.00°
Fractional coordinates of all 9 atoms:
1 K 0.698 0.698 0.395
2 K 0.302 0.302 0.605
3 K 0.000 0.500 0.000
4 K 0.500 0.000 0.000
5 S 0.931 0.281 0.213
6 S 0.069 0.069 0.787
7 S 0.719 0.719 0.787
8 S 0.281 0.931 0.213
9 Ru 0.000 0.000 0.000

As for the space group: I-42m (121).

A geometry-optimized TmIn3Pd12 structure, computed with PBE.

a = 4.051 Å, b = 4.051 Å, c = 16.230 Å
α = 90.00°, β = 90.00°, γ = 90.00°
Fractional coordinates of all 16 atoms:
1 Pd 0.000 0.500 0.376
2 Pd 0.000 0.500 0.128
3 Pd 0.500 0.500 0.251
4 Pd 0.500 0.500 0.749
5 Pd 0.500 0.500 0.500
6 Pd 0.500 0.000 0.872
7 Pd 0.000 0.500 0.872
8 Pd 0.500 0.000 0.376
9 Pd 0.500 0.000 0.128
10 Pd 0.500 0.500 0.000
11 Pd 0.000 0.500 0.624
12 Pd 0.500 0.000 0.624
13 In 0.000 0.000 0.500
14 In 0.000 0.000 0.747
15 In 0.000 0.000 0.253
16 Tm 0.000 0.000 0.000

As for the space group: P4/mmm (123). Its formation energy is -551 meV/atom. The density of states at the Fermi level comes out at 15.83 states/eV per cell.

A geometry-optimized Nb2TlF structure, computed with PBE.

a = 4.648 Å, b = 4.648 Å, c = 4.648 Å
α = 60.00°, β = 60.00°, γ = 60.00°
Fractional coordinates of all 4 atoms:
1 Tl 0.500 0.500 0.500
2 F 0.000 0.000 0.000
3 Nb 0.750 0.750 0.750
4 Nb 0.250 0.250 0.250

As for the space group: Fm-3m (225). As for the polymorph energy (0 for the lowest one): 0 meV/atom. The density of states at the Fermi level comes out at 2.13 states/eV per cell.

A geometry-optimized Eu2TaN structure, computed with PBE.

a = 3.278 Å, b = 3.278 Å, c = 9.588 Å
α = 80.16°, β = 80.16°, γ = 60.00°
Last column: magnetic moment on the atom in μB.
Fractional coordinates of all 4 atoms:
1 Eu 0.114 0.114 0.657  6.80
2 Eu 0.886 0.886 0.343  6.80
3 N 0.500 0.500 0.500  -0.16
4 Ta 0.000 0.000 0.000  0.14

As for the space group: R-3m (166). The density of states at the Fermi level comes out at 4.84 states/eV per cell.

A geometry-optimized Rb2InGaCo structure, computed with PBE.

a = 6.713 Å, b = 4.593 Å, c = 6.713 Å
α = 90.00°, β = 90.00°, γ = 90.00°
Last column: magnetic moment on the atom in μB.
Fractional coordinates of all 5 atoms:
1 Rb 0.000 0.000 0.500  -0.01
2 Rb 0.500 0.000 0.000  -0.01
3 Ga 0.000 0.000 0.000  -0.09
4 In 0.500 0.500 0.500  -0.01
5 Co 0.000 0.500 0.000  1.49

As for the space group: P4/mmm (123). Its formation energy is 564 meV/atom. The density of states at the Fermi level comes out at 3.74 states/eV per cell.

A geometry-optimized La5Al2Ga5 structure, computed with PBE.

a = 4.279 Å, b = 8.122 Å, c = 9.672 Å
α = 80.47°, β = 77.22°, γ = 74.73°
Fractional coordinates of all 12 atoms:
1 La 0.305 0.296 0.093
2 La 0.372 0.947 0.310
3 La 0.628 0.053 0.690
4 La 0.000 0.500 0.500
5 La 0.695 0.704 0.907
6 Al 0.394 0.454 0.759
7 Al 0.606 0.546 0.241
8 Ga 0.307 0.760 0.625
9 Ga 0.693 0.240 0.375
10 Ga 0.000 0.000 0.000
11 Ga 0.931 0.297 0.841
12 Ga 0.069 0.703 0.159

As for the space group: C2/m (12). Its formation energy is -532 meV/atom. The density of states at the Fermi level comes out at 8.11 states/eV per cell.

A geometry-optimized Na2InAu2 structure, computed with PBE.

a = 4.296 Å, b = 6.411 Å, c = 5.840 Å
α = 123.29°, β = 111.58°, γ = 90.00°
Fractional coordinates of all 5 atoms:
1 Na 0.200 0.700 0.401
2 Na 0.800 0.300 0.599
3 Au 0.500 0.283 0.000
4 Au 0.500 0.717 0.000
5 In 0.000 0.000 0.000

As for the space group: Immm (71). Its formation energy is -298 meV/atom. As for the polymorph energy (0 for the lowest one): 21 meV/atom. The density of states at the Fermi level comes out at 1.94 states/eV per cell.

A geometry-optimized Pr6Pt2SeS3 structure, computed with PBE.

a = 4.124 Å, b = 8.534 Å, c = 9.479 Å
α = 104.36°, β = 102.57°, γ = 90.00°
Fractional coordinates of all 12 atoms:
1 S 0.163 0.837 0.325
2 S 0.500 0.500 0.000
3 S 0.837 0.163 0.675
4 Pr 0.671 0.091 0.341
5 Pr 0.667 0.583 0.333
6 Pr 0.333 0.417 0.667
7 Pr 0.329 0.909 0.659
8 Pr 0.000 0.259 0.001
9 Pr 0.000 0.741 0.999
10 Se 0.500 0.000 0.000
11 Pt 0.833 0.665 0.667
12 Pt 0.167 0.335 0.333

As for the space group: C2/m (12). The density of states at the Fermi level comes out at 8.39 states/eV per cell.

A geometry-optimized LaCuI structure, computed with PBE.

a = 4.463 Å, b = 4.069 Å, c = 10.188 Å
α = 78.48°, β = 90.00°, γ = 90.00°
Fractional coordinates of all 6 atoms:
1 La 0.250 0.918 0.165
2 La 0.750 0.082 0.835
3 Cu 0.250 0.525 0.949
4 Cu 0.750 0.475 0.051
5 I 0.250 0.669 0.663
6 I 0.750 0.331 0.337

As for the space group: Cmcm (63). The density of states at the Fermi level comes out at 5.34 states/eV per cell.

A geometry-optimized Ba3LaTh2P6 structure, computed with PBE.

a = 7.563 Å, b = 7.563 Å, c = 7.793 Å
α = 99.31°, β = 99.31°, γ = 120.01°
Fractional coordinates of all 12 atoms:
1 P 0.272 0.272 0.788
2 P 0.071 0.413 0.212
3 P 0.728 0.728 0.212
4 P 0.929 0.587 0.788
5 P 0.413 0.071 0.212
6 P 0.587 0.929 0.788
7 Th 0.667 0.333 0.000
8 Th 0.333 0.667 0.000
9 Ba 0.165 0.835 0.500
10 Ba 0.835 0.165 0.500
11 Ba 0.500 0.500 0.500
12 La 0.000 0.000 0.000

As for the space group: C2/m (12). Its formation energy is -1254 meV/atom. The density of states at the Fermi level comes out at 13.80 states/eV per cell.

A geometry-optimized CoWN2 structure, computed with PBE.

a = 6.306 Å, b = 6.306 Å, c = 6.306 Å
α = 27.11°, β = 27.11°, γ = 27.11°
Last column: magnetic moment on the atom in μB.
Fractional coordinates of all 4 atoms:
1 Co 0.000 0.000 0.000  1.60
2 N 0.101 0.101 0.101  0.02
3 N 0.899 0.899 0.899  0.02
4 W 0.500 0.500 0.500  0.00

As for the space group: R-3m (166). The density of states at the Fermi level comes out at 5.65 states/eV per cell.

A geometry-optimized PmEr2Cl structure, computed with PBE.

a = 3.426 Å, b = 3.426 Å, c = 11.307 Å
α = 81.29°, β = 81.29°, γ = 60.00°
Fractional coordinates of all 4 atoms:
1 Pm 0.000 0.000 0.000
2 Cl 0.500 0.500 0.500
3 Er 0.899 0.899 0.302
4 Er 0.101 0.101 0.698

As for the space group: R-3m (166). The density of states at the Fermi level comes out at 6.76 states/eV per cell.

A geometry-optimized YMn3Hg structure, computed with PBE.

a = 5.001 Å, b = 5.001 Å, c = 5.001 Å
α = 90.00°, β = 90.00°, γ = 90.00°
Last column: magnetic moment on the atom in μB.
Fractional coordinates of all 5 atoms:
1 Mn 0.000 0.500 0.000  3.99
2 Mn 0.000 0.000 0.500  4.04
3 Mn 0.500 0.000 0.000  3.73
4 Y 0.500 0.500 0.500  -0.20
5 Hg 0.000 0.000 0.000  0.01

As for the space group: Pm-3m (221). Its formation energy is 891 meV/atom. As for the polymorph energy (0 for the lowest one): 0 meV/atom. The density of states at the Fermi level comes out at 2.73 states/eV per cell.

A geometry-optimized CaSn2Hg2 structure, computed with PBE.

a = 8.355 Å, b = 8.355 Å, c = 3.947 Å
α = 90.00°, β = 90.00°, γ = 90.00°
Fractional coordinates of all 10 atoms:
1 Hg 0.168 0.668 0.500
2 Hg 0.332 0.168 0.500
3 Hg 0.832 0.332 0.500
4 Hg 0.668 0.832 0.500
5 Ca 0.500 0.500 0.000
6 Ca 0.000 0.000 0.000
7 Sn 0.130 0.370 0.000
8 Sn 0.630 0.130 0.000
9 Sn 0.870 0.630 0.000
10 Sn 0.370 0.870 0.000

As for the space group: P4/mbm (127). Its formation energy is -155 meV/atom. The density of states at the Fermi level comes out at 5.72 states/eV per cell.

A geometry-optimized TlHgRhPb2 structure, computed with PBE.

a = 5.265 Å, b = 5.265 Å, c = 5.352 Å
α = 90.00°, β = 90.00°, γ = 90.00°
Fractional coordinates of all 5 atoms:
1 Rh 0.000 0.000 0.000
2 Pb 0.500 0.000 0.000
3 Pb 0.000 0.500 0.000
4 Tl 0.500 0.500 0.500
5 Hg 0.000 0.000 0.500

As for the space group: P4/mmm (123). Its formation energy is 73 meV/atom. As for the polymorph energy (0 for the lowest one): 5 meV/atom. The density of states at the Fermi level comes out at 3.80 states/eV per cell.

A geometry-optimized K3YF structure, computed with PBE.

a = 7.544 Å, b = 7.544 Å, c = 7.544 Å
α = 90.00°, β = 90.00°, γ = 90.00°
Last column: magnetic moment on the atom in μB.
Fractional coordinates of all 5 atoms:
1 Y 0.000 0.000 0.000  0.91
2 K 0.500 0.000 0.000  0.05
3 K 0.000 0.000 0.500  0.03
4 K 0.000 0.500 0.000  0.04
5 F 0.500 0.500 0.500  0.02

As for the space group: Pm-3m (221). As for the polymorph energy (0 for the lowest one): 865 meV/atom. The density of states at the Fermi level comes out at 40.17 states/eV per cell.

A geometry-optimized UTcBr2O6 structure, computed with PBE.

a = 7.186 Å, b = 7.385 Å, c = 8.317 Å
α = 40.47°, β = 40.53°, γ = 63.29°
Last column: magnetic moment on the atom in μB.
Fractional coordinates of all 10 atoms:
1 O 0.272 0.771 0.037  0.02
2 O 0.207 0.339 0.160  -0.03
3 O 0.279 0.197 0.513  0.01
4 O 0.793 0.661 0.840  -0.03
5 O 0.721 0.803 0.487  0.01
6 O 0.728 0.229 0.963  0.02
7 U 0.000 0.000 0.000  0.12
8 Tc 0.500 0.500 0.000  0.47
9 Br 0.736 0.428 0.394  0.01
10 Br 0.264 0.572 0.606  0.01

As for the space group: P-1 (2). The density of states at the Fermi level comes out at 2.36 states/eV per cell.

A geometry-optimized TcSnPt2 structure, computed with PBE.

a = 4.848 Å, b = 4.848 Å, c = 8.292 Å
α = 73.00°, β = 73.00°, γ = 90.00°
Fractional coordinates of all 8 atoms:
1 Sn 0.750 0.250 0.500
2 Sn 0.000 0.000 0.000
3 Tc 0.250 0.750 0.500
4 Tc 0.500 0.500 0.000
5 Pt 0.166 0.625 0.250
6 Pt 0.584 0.125 0.250
7 Pt 0.875 0.834 0.750
8 Pt 0.375 0.416 0.750

As for the space group: I-42d (122). Its formation energy is 465 meV/atom. The density of states at the Fermi level comes out at 7.04 states/eV per cell.

| no. | M_tot (μB per formula unit) | E (eV per atom) |
| --- | --- | --- |
| 1 | 1.581 | -5.7498 |
| 2 | 0.000 | -6.8383 |
| 3 | 0.000 | -4.1005 |
| 4 | 0.000 | -5.2384 |
| 5 | 0.000 | -5.9445 |
| 6 | 14.081 | -10.0255 |
| 7 | 1.232 | -2.3976 |
| 8 | 0.000 | -4.4699 |
| 9 | 0.000 | -2.6839 |
| 10 | 0.000 | -6.3521 |
| 11 | 0.001 | -4.2538 |
| 12 | 0.000 | -6.0871 |
| 13 | 1.644 | -9.0772 |
| 14 | 0.013 | -4.2862 |
| 15 | 12.015 | -5.9636 |
| 16 | 0.000 | -2.2768 |
| 17 | 0.000 | -3.4144 |
| 18 | 3.000 | -1.9819 |
| 19 | 0.667 | -6.9815 |
| 20 | 0.000 | -6.1476 |